! Er6Tl2Os, relaxed, DFT PBE-GGA; values from VASP
! Energy above the most stable polymorph in this dataset = 0.162 eV per atom
! SG = Immm (71)
! DOS at the Fermi energy = 8.12 states/eV/cell
! Mass density = 9.9 Mg/m³
! E_tot = -44.59 eV/cell
! DFT formation energy = -0.139 eV/atom
&SYSTEM
  ibrav = 0, nat = 9, ntyp = 3
/
ATOMIC_SPECIES
Tl 204.38 Tl.upf
Os 190.23 Os.upf
Er 167.26 Er.upf
CELL_PARAMETERS angstrom
5.031 0.000 -0.193
0.000 7.218 0.000
-2.231 -3.609 7.479
ATOMIC_POSITIONS crystal
Tl 0.665 0.666 0.332
Tl 0.335 0.334 0.668
Os 0.000 0.000 0.000
Er 0.500 0.778 0.000
Er 0.846 0.608 0.692
Er 0.154 0.916 0.308
Er 0.154 0.392 0.308
Er 0.500 0.222 0.000
Er 0.846 0.084 0.692